No. 1
A relaxed structure of Ac2Si4RuPt3, computed with GGA-PBE.

```
Ac2Si4RuPt3
1.0
4.3067 0.0000 0.0000
0.0000 4.3067 0.0000
0.0000 0.0000 10.2507
Ac Si Ru Pt
2 4 1 3
direct
0.0000 0.5000 0.2445
0.5000 0.0000 0.7555
0.0000 0.0000 0.0000
0.0000 0.5000 0.6242
0.5000 0.0000 0.3758
0.5000 0.5000 0.0000
0.0000 0.0000 0.5000
0.0000 0.5000 0.8788
0.5000 0.0000 0.1212
0.5000 0.5000 0.5000
```

Values from the calculation:
As for the volume: 19.0 Å³/atom. Its density of states at the Fermi level is 4.3 states/eV/f.u. Its spin magnetization is 0.00 μB per atom. The value obtained for the formation energy (no corrections) is -1.008 eV/atom.

---

No. 2
A relaxed structure of AcSi2RuPt4, computed with GGA-PBE.

```
AcSi2RuPt4
1.0
3.9539 0.0000 0.0000
0.0000 3.9539 0.0000
0.0000 0.0000 9.8321
Ac Si Ru Pt
1 2 1 4
direct
0.0000 0.0000 0.0000
0.5000 0.5000 0.3842
0.5000 0.5000 0.6158
0.0000 0.0000 0.5000
0.0000 0.5000 0.2516
0.0000 0.5000 0.7484
0.5000 0.0000 0.2516
0.5000 0.0000 0.7484
```

Values from the calculation:
As for the volume: 19.2 Å³/atom. Its density of states at the Fermi level is 5.1 states/eV/f.u. Its spin magnetization is 0.14 μB per atom. The value obtained for the formation energy (no corrections) is -0.430 eV/atom.

---

No. 3
A relaxed structure of AcSmRuPt, computed with GGA-PBE.

```
AcSmRuPt
1.0
0.0000 3.6295 3.6295
3.6295 0.0000 3.6295
3.6295 3.6295 0.0000
Ac Sm Ru Pt
1 1 1 1
direct
0.0000 0.0000 0.0000
0.5000 0.5000 0.5000
0.7500 0.7500 0.7500
0.2500 0.2500 0.2500
```

Values from the calculation:
As for the volume: 23.9 Å³/atom. For the total energy, the calculation gives -6.53 eV/atom. Its density of states at the Fermi level is 4.1 states/eV/f.u. Its spin magnetization is 0.00 μB per atom.

---

No. 4
A relaxed structure of Ac2Sn4RuPt3, computed with GGA-PBE.

```
Ac2Sn4RuPt3
1.0
4.5953 0.0000 0.0000
0.0000 4.5953 0.0000
0.0000 0.0000 11.1367
Ac Sn Ru Pt
2 4 1 3
direct
0.0000 0.5000 0.2463
0.5000 0.0000 0.7537
0.0000 0.0000 0.5000
0.0000 0.5000 0.8741
0.5000 0.0000 0.1259
0.5000 0.5000 0.5000
0.5000 0.5000 0.0000
0.0000 0.0000 0.0000
0.0000 0.5000 0.6342
0.5000 0.0000 0.3658
```

Values from the calculation:
As for the volume: 23.5 Å³/atom. For the total energy, the calculation gives -5.95 eV/atom. Its density of states at the Fermi level is 5.0 states/eV/f.u. Its spin magnetization is 0.00 μB per atom.

---

No. 5
A relaxed structure of AcTbRuPt, computed with GGA-PBE.

```
AcTbRuPt
1.0
0.0000 3.6021 3.6021
3.6021 0.0000 3.6021
3.6021 3.6021 0.0000
Ac Tb Ru Pt
1 1 1 1
direct
0.0000 0.0000 0.0000
0.5000 0.5000 0.5000
0.2500 0.2500 0.2500
0.7500 0.7500 0.7500
```

Values from the calculation:
As for the volume: 23.4 Å³/atom. For the total energy, the calculation gives -6.54 eV/atom. Its density of states at the Fermi level is 4.0 states/eV/f.u. Its spin magnetization is 0.00 μB per atom.

---

No. 6
A relaxed structure of AcThRuPt, computed with GGA-PBE.

```
AcThRuPt
1.0
0.0000 3.6539 3.6539
3.6539 0.0000 3.6539
3.6539 3.6539 0.0000
Ac Th Ru Pt
1 1 1 1
direct
0.0000 0.0000 0.0000
0.5000 0.5000 0.5000
0.2500 0.2500 0.2500
0.7500 0.7500 0.7500
```

Values from the calculation:
As for the volume: 24.4 Å³/atom. For the total energy, the calculation gives -7.24 eV/atom. Its density of states at the Fermi level is 1.7 states/eV/f.u. Its spin magnetization is 0.00 μB per atom.

---

No. 7
A relaxed structure of Ac8TlRuPt2, computed with GGA-PBE.

```
Ac8TlRuPt2
1.0
7.2829 0.0000 0.0000
0.2158 7.7434 0.0000
2.1247 0.2251 7.7438
Ac Tl Ru Pt
8 1 1 2
direct
0.1651 0.0936 0.2894
0.2295 0.2282 0.8336
0.2545 0.5965 0.4371
0.3179 0.7076 0.9149
0.6821 0.2924 0.0851
0.7455 0.4035 0.5629
0.7705 0.7718 0.1664
0.8349 0.9064 0.7106
0.5000 0.0000 0.5000
0.5000 0.0000 0.0000
0.0347 0.4500 0.1952
0.9653 0.5500 0.8048
```

Values from the calculation:
As for the volume: 36.4 Å³/atom. For the total energy, the calculation gives -5.19 eV/atom. Its density of states at the Fermi level is 10.5 states/eV/f.u. Its spin magnetization is 0.00 μB per atom.

---

No. 8
A relaxed structure of AcTmRuPt, computed with GGA-PBE.

```
AcTmRuPt
1.0
0.0000 3.5743 3.5743
3.5743 0.0000 3.5743
3.5743 3.5743 0.0000
Ac Tm Ru Pt
1 1 1 1
direct
0.0000 0.0000 0.0000
0.5000 0.5000 0.5000
0.2500 0.2500 0.2500
0.7500 0.7500 0.7500
```

Values from the calculation:
As for the volume: 22.8 Å³/atom. For the total energy, the calculation gives -6.52 eV/atom. Its density of states at the Fermi level is 3.8 states/eV/f.u. Its spin magnetization is 0.00 μB per atom.

---

No. 9
A relaxed structure of Ac6PtS5, computed with GGA-PBE.

```
Ac6PtS5
1.0
3.7685 -6.5119 0.0000
3.7685 6.5119 0.0000
-2.5125 0.0000 7.0870
Ac Pt S
6 1 5
direct
0.0825 0.4157 0.2493
0.2496 0.2496 0.7493
0.4157 0.0825 0.2493
0.5843 0.9175 0.7507
0.7504 0.7504 0.2507
0.9175 0.5843 0.7507
0.0000 0.0000 0.0000
0.1691 0.8309 0.5000
0.3340 0.6660 0.0000
0.5000 0.5000 0.5000
0.6660 0.3340 0.0000
0.8309 0.1691 0.5000
```

Values from the calculation:
As for the volume: 29.0 Å³/atom. Its density of states at the Fermi level is 6.2 states/eV/f.u. Its spin magnetization is 0.00 μB per atom. The value obtained for the formation energy (no corrections) is -1.850 eV/atom.

---

No. 10
A relaxed structure of Ac4Pt2S, computed with GGA-PBE.

```
Ac4Pt2S
1.0
-2.8782 2.8782 7.3990
2.8782 -2.8782 7.3990
2.8782 2.8782 -7.3990
Ac Pt S
4 2 1
direct
0.0000 0.5000 0.5000
0.2079 0.2079 0.0000
0.5000 0.0000 0.5000
0.7921 0.7921 0.0000
0.4012 0.4012 0.0000
0.5988 0.5988 0.0000
0.0000 0.0000 0.0000
```

Values from the calculation:
As for the volume: 35.0 Å³/atom. Its energy above the most stable polymorph in this dataset is 1.848 eV per formula unit. Its density of states at the Fermi level is 6.3 states/eV/f.u. Its spin magnetization is 0.00 μB per atom. The value obtained for the formation energy (no corrections) is -0.933 eV/atom.

---

No. 11
A relaxed structure of Ac3PtS6, computed with GGA-PBE.

```
Ac3PtS6
1.0
6.2273 3.5953 4.0479
-6.2273 3.5953 4.0479
0.0000 -7.1907 4.0479
Ac Pt S
6 2 12
direct
0.1162 0.7905 0.6213
0.2095 0.3787 0.8838
0.3787 0.8838 0.2095
0.6213 0.1162 0.7905
0.7905 0.6213 0.1162
0.8838 0.2095 0.3787
0.0000 0.0000 0.0000
0.5000 0.5000 0.5000
0.0576 0.9217 0.3020
0.0783 0.6980 0.9424
0.2053 0.4460 0.5293
0.3020 0.0576 0.9217
0.4460 0.5293 0.2053
0.4707 0.7947 0.5540
0.5293 0.2053 0.4460
0.5540 0.4707 0.7947
0.6980 0.9424 0.0783
0.7947 0.5540 0.4707
0.9217 0.3020 0.0576
0.9424 0.0783 0.6980
```

Values from the calculation:
As for the volume: 27.2 Å³/atom. Its density of states at the Fermi level is 0.7 states/eV/f.u. Its spin magnetization is 0.10 μB per atom. The value obtained for the formation energy (no corrections) is -1.580 eV/atom.

---

No. 12
A relaxed structure of AcPtS2, computed with GGA-PBE.

```
AcPtS2
1.0
1.8984 1.0960 8.2069
-1.8984 1.0960 8.2069
0.0000 -2.1920 8.2069
Ac Pt S
1 1 2
direct
0.0000 0.0000 0.0000
0.5000 0.5000 0.5000
0.1198 0.1198 0.1198
0.8802 0.8802 0.8802
```

Values from the calculation:
As for the volume: 25.6 Å³/atom. Its density of states at the Fermi level is 3.7 states/eV/f.u. Its spin magnetization is 0.00 μB per atom. The value obtained for the formation energy (no corrections) is -0.370 eV/atom.